(one)
Entry from Alexandria: a relaxed Nd6Sm2Sc crystal (GGA-PBE). Values from VASP.

Computed properties:
SG	Cmmm
density of states at the Fermi level	1.580	states/eV per atom

The structure in Quantum ESPRESSO input format:
```
&SYSTEM
  ibrav = 0, nat = 9, ntyp = 3
/
ATOMIC_SPECIES
Nd 144.24 Nd.upf
Sm 150.36 Sm.upf
Sc 44.96 Sc.upf
CELL_PARAMETERS angstrom
5.387 -0.001 0.001
0.000 7.656 3.627
-0.001 1.533 8.332
ATOMIC_POSITIONS crystal
Nd 0.000 0.137 0.575
Nd 0.000 0.863 0.425
Nd 0.500 0.259 0.741
Nd 0.000 0.575 0.137
Nd 0.500 0.741 0.259
Nd 0.000 0.425 0.863
Sm 0.500 0.773 0.773
Sm 0.500 0.227 0.227
Sc 0.000 0.000 0.000
```

=====

(two)
Entry from Alexandria: a relaxed Nd6Sm2Sc crystal (GGA-PBE). Values from VASP.

Computed properties:
SG	C2/m
density of states at the Fermi level	1.647	states/eV per atom

The structure in Quantum ESPRESSO input format:
```
&SYSTEM
  ibrav = 0, nat = 9, ntyp = 3
/
ATOMIC_SPECIES
Sm 150.36 Sm.upf
Nd 144.24 Nd.upf
Sc 44.96 Sc.upf
CELL_PARAMETERS angstrom
-2.285 -2.536 -1.452
5.648 -1.545 -8.200
-0.067 -5.804 8.235
ATOMIC_POSITIONS crystal
Sm 0.500 0.845 0.155
Sm 0.500 0.155 0.845
Nd 0.327 0.318 0.318
Nd 0.818 0.164 0.504
Nd 0.182 0.836 0.496
Nd 0.673 0.682 0.682
Nd 0.182 0.496 0.836
Nd 0.818 0.504 0.164
Sc 0.000 0.000 0.000
```

=====

Top of the stability list: (two), leading by 128 meV/atom.

=====

(one)
Entry from Alexandria: a relaxed Nd3Sm4Sc2 crystal (GGA-PBE). Values from VASP.

Computed properties:
SG	P3m1
density of states at the Fermi level	1.859	states/eV per atom

The structure in Quantum ESPRESSO input format:
```
&SYSTEM
  ibrav = 0, nat = 9, ntyp = 3
/
ATOMIC_SPECIES
Nd 144.24 Nd.upf
Sm 150.36 Sm.upf
Sc 44.96 Sc.upf
CELL_PARAMETERS angstrom
3.572 0.000 0.000
-1.786 3.093 0.000
0.000 0.000 26.449
ATOMIC_POSITIONS crystal
Nd 0.000 0.000 0.316
Nd 0.000 0.000 0.982
Nd 0.667 0.333 0.659
Sm 0.667 0.333 0.433
Sm 0.000 0.000 0.544
Sm 0.667 0.333 0.206
Sm 0.000 0.000 0.775
Sc 0.667 0.333 0.876
Sc 0.667 0.333 0.085
```

=====

(two)
Entry from Alexandria: a relaxed Nd3Sm4Sc2 crystal (GGA-PBE). Values from VASP.

Computed properties:
SG	C2/m
density of states at the Fermi level	1.431	states/eV per atom

The structure in Quantum ESPRESSO input format:
```
&SYSTEM
  ibrav = 0, nat = 9, ntyp = 3
/
ATOMIC_SPECIES
Nd 144.24 Nd.upf
Sm 150.36 Sm.upf
Sc 44.96 Sc.upf
CELL_PARAMETERS angstrom
5.049 0.000 0.001
2.523 5.536 1.034
-0.002 1.422 10.576
ATOMIC_POSITIONS crystal
Nd 0.669 0.662 0.556
Nd 0.000 0.000 0.000
Nd 0.331 0.338 0.444
Sm 0.668 0.664 0.890
Sm 0.997 0.005 0.329
Sm 0.332 0.336 0.110
Sm 0.003 0.995 0.671
Sc 0.334 0.333 0.779
Sc 0.666 0.667 0.221
```

=====

Top of the stability list: (two), leading by 64 meV/atom.

=====

(one)
Entry from Alexandria: a relaxed NdSm4Sc2 crystal (GGA-PBE). Values from VASP.

Computed properties:
SG	C2/c
density of states at the Fermi level	1.463	states/eV per atom

The structure in Quantum ESPRESSO input format:
```
&SYSTEM
  ibrav = 0, nat = 14, ntyp = 3
/
ATOMIC_SPECIES
Sm 150.36 Sm.upf
Sc 44.96 Sc.upf
Nd 144.24 Nd.upf
CELL_PARAMETERS angstrom
7.559 -2.439 -0.848
-6.058 5.136 -0.848
2.742 4.929 15.720
ATOMIC_POSITIONS crystal
Sm 0.847 0.245 0.420
Sm 0.153 0.755 0.580
Sm 0.692 0.841 0.574
Sm 0.159 0.308 0.926
Sm 0.841 0.692 0.074
Sm 0.245 0.847 0.920
Sm 0.755 0.153 0.080
Sm 0.308 0.159 0.426
Sc 0.269 0.731 0.250
Sc 0.731 0.269 0.750
Sc 0.618 0.382 0.250
Sc 0.382 0.618 0.750
Nd 0.056 0.944 0.750
Nd 0.944 0.056 0.250
```

=====

(two)
Entry from Alexandria: a relaxed NdSm4Sc2 crystal (GGA-PBE). Values from VASP.

Computed properties:
SG	P2_1/m
density of states at the Fermi level	1.664	states/eV per atom

The structure in Quantum ESPRESSO input format:
```
&SYSTEM
  ibrav = 0, nat = 14, ntyp = 3
/
ATOMIC_SPECIES
Sm 150.36 Sm.upf
Sc 44.96 Sc.upf
Nd 144.24 Nd.upf
CELL_PARAMETERS angstrom
-2.677 -4.440 6.895
5.612 1.250 2.983
-1.719 8.890 -0.491
ATOMIC_POSITIONS crystal
Sm 0.982 0.750 0.741
Sm 0.629 0.502 0.233
Sm 0.018 0.250 0.259
Sm 0.061 0.750 0.411
Sm 0.939 0.250 0.589
Sm 0.371 0.002 0.767
Sm 0.629 0.998 0.233
Sm 0.371 0.498 0.767
Sc 0.556 0.750 0.559
Sc 0.206 0.250 0.011
Sc 0.794 0.750 0.989
Sc 0.444 0.250 0.441
Nd 0.238 0.750 0.162
Nd 0.762 0.250 0.838
```

=====

Top of the stability list: (two), leading by 53 meV/atom.

=====

(one)
Entry from Alexandria: a relaxed NdSm3Sc crystal (GGA-PBE). Values from VASP.

Computed properties:
SG	C2/m
density of states at the Fermi level	1.732	states/eV per atom

The structure in Quantum ESPRESSO input format:
```
&SYSTEM
  ibrav = 0, nat = 10, ntyp = 3
/
ATOMIC_SPECIES
Sc 44.96 Sc.upf
Sm 150.36 Sm.upf
Nd 144.24 Nd.upf
CELL_PARAMETERS angstrom
-2.232 1.453 2.473
0.897 -6.912 4.871
9.616 1.350 5.214
ATOMIC_POSITIONS crystal
Sc 0.220 0.167 0.440
Sc 0.780 0.833 0.560
Sm 0.812 0.374 0.624
Sm 0.381 0.015 0.762
Sm 0.018 0.777 0.036
Sm 0.982 0.223 0.964
Sm 0.619 0.985 0.238
Sm 0.188 0.626 0.376
Nd 0.592 0.406 0.183
Nd 0.408 0.594 0.817
```

=====

(two)
Entry from Alexandria: a relaxed NdSm3Sc crystal (GGA-PBE). Values from VASP.

Computed properties:
SG	C2/c
density of states at the Fermi level	1.528	states/eV per atom

The structure in Quantum ESPRESSO input format:
```
&SYSTEM
  ibrav = 0, nat = 20, ntyp = 3
/
ATOMIC_SPECIES
Sm 150.36 Sm.upf
Nd 144.24 Nd.upf
Sc 44.96 Sc.upf
CELL_PARAMETERS angstrom
-2.132 6.249 -0.435
-10.346 -2.563 3.246
-4.049 0.083 10.380
ATOMIC_POSITIONS crystal
Sm 0.923 0.416 0.913
Sm 0.605 0.518 0.635
Sm 0.912 0.046 0.256
Sm 0.077 0.584 0.087
Sm 0.588 0.744 0.954
Sm 0.395 0.482 0.365
Sm 0.577 0.087 0.584
Sm 0.412 0.256 0.046
Sm 0.105 0.635 0.518
Sm 0.088 0.954 0.744
Sm 0.895 0.365 0.482
Sm 0.423 0.913 0.416
Nd 0.750 0.751 0.249
Nd 0.250 0.249 0.751
Nd 0.250 0.899 0.101
Nd 0.750 0.101 0.899
Sc 0.182 0.220 0.348
Sc 0.318 0.652 0.780
Sc 0.818 0.780 0.652
Sc 0.682 0.348 0.220
```

=====

Top of the stability list: (one), leading by 40 meV/atom.

=====

(one)
Entry from Alexandria: a relaxed Nd8Sm2Sc3 crystal (GGA-PBE). Values from VASP.

Computed properties:
SG	C2/m
density of states at the Fermi level	1.511	states/eV per atom

The structure in Quantum ESPRESSO input format:
```
&SYSTEM
  ibrav = 0, nat = 13, ntyp = 3
/
ATOMIC_SPECIES
Nd 144.24 Nd.upf
Sc 44.96 Sc.upf
Sm 150.36 Sm.upf
CELL_PARAMETERS angstrom
5.861 0.306 1.302
1.859 8.475 1.680
0.748 -0.511 8.791
ATOMIC_POSITIONS crystal
Nd 0.886 0.136 0.136
Nd 0.765 0.416 0.416
Nd 0.235 0.584 0.584
Nd 0.353 0.388 0.919
Nd 0.353 0.919 0.388
Nd 0.114 0.864 0.864
Nd 0.647 0.612 0.081
Nd 0.647 0.081 0.612
Sc 0.000 0.265 0.735
Sc 0.000 0.735 0.265
Sc 0.500 0.000 0.000
Sm 0.669 0.684 0.684
Sm 0.331 0.316 0.316
```

=====

(two)
Entry from Alexandria: a relaxed Nd8Sm2Sc3 crystal (GGA-PBE). Values from VASP.

Computed properties:
SG	C2/m
density of states at the Fermi level	1.462	states/eV per atom

The structure in Quantum ESPRESSO input format:
```
&SYSTEM
  ibrav = 0, nat = 13, ntyp = 3
/
ATOMIC_SPECIES
Sm 150.36 Sm.upf
Nd 144.24 Nd.upf
Sc 44.96 Sc.upf
CELL_PARAMETERS angstrom
6.667 0.000 0.580
0.000 8.909 0.000
-1.896 -4.455 7.306
ATOMIC_POSITIONS crystal
Sm 0.299 0.198 0.395
Sm 0.701 0.802 0.605
Nd 0.432 0.427 0.220
Nd 0.818 0.188 0.375
Nd 0.182 0.812 0.625
Nd 0.568 0.207 0.780
Nd 0.098 0.408 0.817
Nd 0.568 0.573 0.780
Nd 0.902 0.592 0.183
Nd 0.432 0.793 0.220
Sc 0.500 0.000 0.000
Sc 0.000 0.839 0.000
Sc 0.000 0.161 0.000
```

=====

Top of the stability list: (one), leading by 60 meV/atom.

=====

(one)
Entry from Alexandria: a relaxed Nd3Sm3Sc2 crystal (GGA-PBE). Values from VASP.

Computed properties:
SG	Pmmm
density of states at the Fermi level	1.399	states/eV per atom

The structure in Quantum ESPRESSO input format:
```
&SYSTEM
  ibrav = 0, nat = 8, ntyp = 3
/
ATOMIC_SPECIES
Sm 150.36 Sm.upf
Nd 144.24 Nd.upf
Sc 44.96 Sc.upf
CELL_PARAMETERS angstrom
-4.929 -0.998 -0.364
0.748 -4.479 2.152
-1.492 4.083 9.013
ATOMIC_POSITIONS crystal
Sm 0.500 0.500 0.249
Sm 0.500 0.500 0.751
Sm 0.500 0.000 0.000
Nd 0.000 0.500 0.500
Nd 0.000 0.500 0.000
Nd 0.500 0.000 0.500
Sc 0.000 0.000 0.249
Sc 0.000 0.000 0.751
```

=====

(two)
Entry from Alexandria: a relaxed Nd3Sm3Sc2 crystal (GGA-PBE). Values from VASP.

Computed properties:
SG	C2/m
density of states at the Fermi level	1.637	states/eV per atom

The structure in Quantum ESPRESSO input format:
```
&SYSTEM
  ibrav = 0, nat = 8, ntyp = 3
/
ATOMIC_SPECIES
Sm 150.36 Sm.upf
Nd 144.24 Nd.upf
Sc 44.96 Sc.upf
CELL_PARAMETERS angstrom
5.566 0.000 0.000
0.000 5.743 -0.209
-2.783 -2.541 8.148
ATOMIC_POSITIONS crystal
Sm 0.500 0.500 0.000
Sm 0.640 0.097 0.279
Sm 0.360 0.903 0.721
Nd 0.860 0.315 0.720
Nd 0.140 0.685 0.280
Nd 0.000 0.000 0.000
Sc 0.750 0.687 0.500
Sc 0.250 0.313 0.500
```

=====

Top of the stability list: (one), leading by 39 meV/atom.